A relaxed structure of BaTbIn2Au4. Source: the Alexandria database, functional PBE.

Results
**Final energy**: -3.737 eV/atom
**D(E_F)**: 0.62 states/eV/atom
**Size of the total moment**: 0.0 Bohr magnetons per cell

Unit cell a=4.9700 b=4.9700 c=9.7587 alpha=75.25 beta=75.25 gamma=60.00
Element x y z (fractional)
Au 0.8650 0.8650 0.4050
Au 0.6033 0.6033 0.1902
Au 0.3967 0.3967 0.8098
Au 0.1350 0.1350 0.5950
In 0.7573 0.7573 0.7281
In 0.2427 0.2427 0.2719
Ba 0.0000 0.0000 0.0000
Tb 0.5000 0.5000 0.5000